# PBE-GGA Ho2Be3CoNi12, optimized geometry
data_Ho2Be3CoNi12
_chemical_formula_sum 'Ho2 Be3 Co1 Ni12'
_cell_length_a 6.7872
_cell_length_b 6.7872
_cell_length_c 6.7872
_cell_angle_alpha 65.92
_cell_angle_beta 65.92
_cell_angle_gamma 65.92
_symmetry_space_group_name_H-M 'P 1'
_symmetry_Int_Tables_number 1
loop_
_symmetry_equiv_pos_as_xyz
'x,y,z'
loop_
_atom_site_label
_atom_site_type_symbol
_atom_site_fract_x
_atom_site_fract_y
_atom_site_fract_z
Ho1 Ho 0.1055 0.1055 0.1055
Ho2 Ho 0.8945 0.8945 0.8945
Be1 Be 0.0000 0.5000 0.5000
Be2 Be 0.5000 0.0000 0.5000
Be3 Be 0.5000 0.5000 0.0000
Co1 Co 0.5000 0.5000 0.5000
Ni1 Ni 0.1199 0.6331 0.6331
Ni2 Ni 0.1541 0.1541 0.5923
Ni3 Ni 0.1541 0.5923 0.1541
Ni4 Ni 0.3669 0.3669 0.8801
Ni5 Ni 0.3669 0.8801 0.3669
Ni6 Ni 0.4077 0.8459 0.8459
Ni7 Ni 0.5923 0.1541 0.1541
Ni8 Ni 0.6331 0.1199 0.6331
Ni9 Ni 0.6331 0.6331 0.1199
Ni10 Ni 0.8459 0.4077 0.8459
Ni11 Ni 0.8459 0.8459 0.4077
Ni12 Ni 0.8801 0.3669 0.3669
# Uncorrected energy, eV per atom: -5.105
# Formation enthalpy at 0 K, eV per formula unit: 4.92
# SG: R-3m, No. 166